Material: K3Rb
Method: DFT, PBE
State: optimized geometry

Output
Calculated formation energy in eV per atom: 0.00
Fermi-level density of states in states/eV/f.u.: 2.90
Uncorrected energy in eV/cell: -4.2

Lattice parameters (Å, degrees): 6.7793 6.7793 8.1924 114.44 114.44 90.00
Last column: nearest neighbours and their distance in Å.
Fractional positions:
1 K 0.7500 0.2500 0.5000  8 K 4.75-4.79, 4 Rb 4.75
2 K 0.5000 0.5000 0.0000  8 K 4.75, 4 Rb 4.79
3 K 0.2500 0.7500 0.5000  4 Rb 4.75, 8 K 4.75-4.79
4 Rb 0.0000 0.0000 0.0000  12 K 4.75-4.79

Material: CrReNi2
Method: DFT, PBE
State: optimized geometry

Output
Calculated formation energy in eV per atom: 0.04
Fermi-level density of states in states/eV/f.u.: 4.80
Offset from the most stable computed form in meV/atom: 31
Uncorrected energy in eV/cell: -33.5

Lattice parameters (Å, degrees): 3.5647 3.5631 3.8096 90.00 90.00 90.00
Last column: nearest neighbours and their distance in Å.
Fractional positions:
1 Cr 0.0000 0.5000 0.5000  4 Re 2.52, 8 Ni 2.61
2 Ni 0.0000 0.0000 0.0000  4 Ni 2.52, 4 Cr 2.61, 4 Re 2.61
3 Ni 0.5000 0.5000 0.0000  4 Ni 2.52, 4 Re 2.61, 4 Cr 2.61
4 Re 0.5000 0.0000 0.5000  4 Cr 2.52, 8 Ni 2.61

Material: HoEr2F11
Method: DFT, PBE
State: optimized geometry

Output
Fermi-level density of states in states/eV/f.u.: 11.19
Energy relative to the elements, uncorrected in eV/f.u.: -48.58
Uncorrected energy in eV/cell: -165.7

Lattice parameters (Å, degrees): 8.2762 8.5572 8.5572 72.64 61.08 61.08
Last column: nearest neighbours and their distance in Å.
Fractional positions:
1 F 0.3904 0.6955 0.3045  1 F 2.18, 2 Er 2.22-2.24
2 F 0.3409 0.2901 0.4422  1 Er 2.18, 1 Ho 2.27
3 F 0.8904 0.8045 0.1955  1 F 2.18, 2 Er 2.22-2.24
4 F 0.6096 0.3045 0.6955  1 F 2.18, 2 Er 2.22-2.24
5 F 0.4268 0.7901 0.9422  1 Er 2.18, 1 Ho 2.27
6 F 0.5000 0.5000 0.5000  2 F 2.18, 2 Er 2.33
7 F 0.0000 0.0000 0.0000  2 F 2.18, 2 Er 2.33
8 F 0.1096 0.1955 0.8045  1 F 2.18, 2 Er 2.22-2.24
9 F 0.5409 0.0279 0.6861  1 Er 2.17, 1 Ho 2.26
10 F 0.4591 0.9721 0.3139  1 Er 2.17, 1 Ho 2.26
11 F 0.9591 0.8139 0.4721  1 Er 2.17, 1 Ho 2.26
12 F 0.2549 0.3139 0.9721  1 Er 2.17, 1 Ho 2.26
13 F 0.7549 0.4721 0.8139  1 Er 2.17, 1 Ho 2.26
14 F 0.9268 0.4422 0.2901  1 Er 2.18, 1 Ho 2.27
15 F 0.2451 0.5279 0.1861  1 Er 2.17, 1 Ho 2.26
16 F 0.5732 0.2099 0.0578  1 Er 2.18, 1 Ho 2.27
17 F 0.6591 0.7099 0.5578  1 Er 2.18, 1 Ho 2.27
18 F 0.0732 0.5578 0.7099  1 Er 2.18, 1 Ho 2.27
19 F 0.7451 0.6861 0.0279  1 Er 2.17, 1 Ho 2.26
20 F 0.1591 0.0578 0.2099  1 Er 2.18, 1 Ho 2.27
21 F 0.8409 0.9422 0.7901  1 Er 2.18, 1 Ho 2.27
22 F 0.0409 0.1861 0.5279  1 Er 2.17, 1 Ho 2.26
23 Ho 0.2500 0.2500 0.2500  8 F 2.26-2.27
24 Ho 0.7500 0.7500 0.7500  8 F 2.26-2.27
25 Er 0.3412 0.3107 0.6893  7 F 2.17-2.33
26 Er 0.1588 0.8107 0.1893  7 F 2.17-2.33
27 Er 0.8412 0.1893 0.8107  7 F 2.17-2.33
28 Er 0.6588 0.6893 0.3107  7 F 2.17-2.33

Material: AgHg2AsO4
Method: DFT, PBE
State: optimized geometry

Output
Energy relative to the elements, uncorrected in eV/f.u.: -5.66
Offset from the most stable computed form in meV/atom: 0
Uncorrected energy in eV/cell: -134.4

Lattice parameters (Å, degrees): 6.3759 9.0017 9.8490 90.00 90.00 90.00
Last column: nearest neighbours and their distance in Å.
Fractional positions:
1 Hg 0.7113 0.7576 0.9654  3 O 2.31-2.42
2 Hg 0.2887 0.7424 0.4654  3 O 2.31-2.42
3 Hg 0.2887 0.2576 0.5346  3 O 2.31-2.42
4 Hg 0.7113 0.7424 0.4654  3 O 2.31-2.42
5 Hg 0.7113 0.2424 0.0346  3 O 2.31-2.42
6 Hg 0.2887 0.2424 0.0346  3 O 2.31-2.42
7 Hg 0.7113 0.2576 0.5346  3 O 2.31-2.42
8 Hg 0.2887 0.7576 0.9654  3 O 2.31-2.42
9 O 0.0000 0.3808 0.6294  1 As 1.73
10 O 0.7681 0.9394 0.3019  1 As 1.72
11 O 0.0000 0.6192 0.3706  1 As 1.73
12 O 0.2319 0.4394 0.1981  1 As 1.72
13 O 0.2319 0.0606 0.6981  1 As 1.72
14 O 0.0000 0.6708 0.0835  1 As 1.75
15 O 0.7681 0.0606 0.6981  1 As 1.72
16 O 0.0000 0.8808 0.8706  1 As 1.73
17 O 0.0000 0.1708 0.4165  1 As 1.75
18 O 0.2319 0.5606 0.8019  1 As 1.72
19 O 0.0000 0.3292 0.9165  1 As 1.75
20 O 0.0000 0.1192 0.1294  1 As 1.73
21 O 0.2319 0.9394 0.3019  1 As 1.72
22 O 0.7681 0.4394 0.1981  1 As 1.72
23 O 0.7681 0.5606 0.8019  1 As 1.72
24 O 0.0000 0.8292 0.5835  1 As 1.75
25 As 0.0000 0.0369 0.2884  4 O 1.72-1.75
26 As 0.0000 0.5369 0.2116  4 O 1.72-1.75
27 As 0.0000 0.4631 0.7884  4 O 1.72-1.75
28 As 0.0000 0.9631 0.7116  4 O 1.72-1.75
29 Ag 0.5000 0.4677 0.3581  2 O 2.34
30 Ag 0.5000 0.5323 0.6419  2 O 2.34
31 Ag 0.5000 0.9677 0.1419  2 O 2.34
32 Ag 0.5000 0.0323 0.8581  2 O 2.34

Material: K2LiAu2I6
Method: DFT, PBE
State: optimized geometry

Output
Fermi-level density of states in states/eV/f.u.: 4.96
Energy relative to the elements, uncorrected in eV/f.u.: -7.81
Uncorrected energy in eV/cell: -27.8

Lattice parameters (Å, degrees): 7.6826 8.8093 8.7929 119.51 90.00 115.85
Last column: nearest neighbours and their distance in Å.
Fractional positions:
1 I 0.6673 0.8599 0.2004  1 Au 2.73, 1 Li 2.88
2 I 0.7502 0.5004 0.6442  1 Au 2.64
3 I 0.1926 0.8599 0.2004  1 Au 2.73, 1 Li 2.88
4 I 0.2498 0.4996 0.3558  1 Au 2.64
5 I 0.8074 0.1401 0.7996  1 Au 2.73, 1 Li 2.88
6 I 0.3327 0.1401 0.7996  1 Au 2.73, 1 Li 2.88
7 K 0.7408 0.4816 0.2308  7 I 3.56-3.98, 1 Au 3.90
8 K 0.2592 0.5184 0.7692  7 I 3.56-3.98, 1 Au 3.90
9 Li 0.5000 0.0000 0.5000  4 I 2.88
10 Au 0.0581 0.1161 0.2481  3 I 2.64-2.73
11 Au 0.9419 0.8839 0.7519  3 I 2.64-2.73

Material: KRbSe2
Method: DFT, PBE
State: optimized geometry

Output
Fermi-level density of states in states/eV/f.u.: 5.38
Energy relative to the elements, uncorrected in eV/f.u.: -2.58
Offset from the most stable computed form in meV/atom: 226
Uncorrected energy in eV/cell: -23.2

Lattice parameters (Å, degrees): 9.2005 9.2005 7.1757 50.13 50.13 90.00
Last column: nearest neighbours and their distance in Å.
Fractional positions:
1 Se 0.3750 0.3888 0.7500  2 Se 3.04, 2 K 3.25
2 Se 0.6112 0.1250 0.2500  2 Se 3.04, 2 K 3.25
3 Se 0.8750 0.8612 0.7500  2 Se 3.04, 2 K 3.25
4 Se 0.1388 0.6250 0.2500  2 Se 3.04, 2 K 3.25
5 K 0.2500 0.7500 0.5000  2 Rb 3.03, 4 Se 3.25
6 K 0.5000 0.5000 0.0000  2 Rb 3.03, 4 Se 3.25
7 Rb 0.7500 0.2500 0.5000  2 K 3.03
8 Rb 0.0000 0.0000 0.0000  2 K 3.03

Material: TbErPd
Method: DFT, PBE
State: optimized geometry

Output
Calculated formation energy in eV per atom: -0.45
Fermi-level density of states in states/eV/f.u.: 3.05
Offset from the most stable computed form in meV/atom: 112
Uncorrected energy in eV/cell: -62.9

Lattice parameters (Å, degrees): 5.6244 7.7557 7.7557 90.00 90.00 90.00
Last column: nearest neighbours and their distance in Å.
Fractional positions:
1 Tb 0.5000 0.0000 0.7735  2 Pd 2.82
2 Tb 0.5000 0.0000 0.2265  2 Pd 2.82
3 Tb 0.0000 0.7735 0.0000  2 Pd 2.82
4 Tb 0.0000 0.2265 0.0000  2 Pd 2.82
5 Pd 0.0000 0.5000 0.2391  4 Er 2.81-2.83, 2 Tb 2.82
6 Pd 0.0000 0.5000 0.7609  4 Er 2.81-2.83, 2 Tb 2.82
7 Pd 0.5000 0.2391 0.5000  4 Er 2.81-2.83, 2 Tb 2.82
8 Pd 0.5000 0.7609 0.5000  4 Er 2.81-2.83, 2 Tb 2.82
9 Er 0.5000 0.5000 0.2452  4 Pd 2.81-2.83
10 Er 0.0000 0.7548 0.5000  4 Pd 2.81-2.83
11 Er 0.0000 0.2452 0.5000  4 Pd 2.81-2.83
12 Er 0.5000 0.5000 0.7548  4 Pd 2.81-2.83

Material: Li3VB
Method: DFT, PBE
State: optimized geometry

Output
Calculated formation energy in eV per atom: 0.81
Fermi-level density of states in states/eV/f.u.: 1.91
Offset from the most stable computed form in meV/atom: 0
Uncorrected energy in eV/cell: -17.5

Lattice parameters (Å, degrees): 4.1707 4.1707 4.1707 90.00 90.00 90.00
Last column: nearest neighbours and their distance in Å.
Fractional positions:
1 B 0.0000 0.0000 0.0000  6 Li 2.09
2 Li 0.0000 0.0000 0.5000  2 B 2.09
3 Li 0.0000 0.5000 0.0000  2 B 2.09
4 Li 0.5000 0.0000 0.0000  2 B 2.09
5 V 0.5000 0.5000 0.5000  12 Li 2.95

Material: HoMg4Ga2
Method: DFT, PBE
State: optimized geometry

Output
Calculated formation energy in eV per atom: -0.24
Fermi-level density of states in states/eV/f.u.: 3.18
Offset from the most stable computed form in meV/atom: 0
Uncorrected energy in eV/cell: -18.7

Lattice parameters (Å, degrees): 4.2846 4.3314 8.4853 104.79 90.00 90.00
Last column: nearest neighbours and their distance in Å.
Fractional positions:
1 Ho 0.0000 0.0000 0.0000  8 Ga 3.28, 8 Mg 3.60-3.64
2 Ga 0.5000 0.4262 0.8524  1 Ga 2.42
3 Ga 0.5000 0.5738 0.1476  1 Ga 2.42
4 Mg 0.5000 0.1763 0.3526  2 Ga 2.74, 4 Mg 3.05
5 Mg 0.0000 0.3216 0.6431  2 Ga 2.75, 4 Mg 3.05
6 Mg 0.0000 0.6784 0.3569  2 Ga 2.75, 4 Mg 3.05
7 Mg 0.5000 0.8237 0.6474  2 Ga 2.74, 4 Mg 3.05

Material: SrLiN2F
Method: DFT, PBE
State: optimized geometry

Output
Fermi-level density of states in states/eV/f.u.: 1.84
Energy relative to the elements, uncorrected in eV/f.u.: 1.10
Offset from the most stable computed form in meV/atom: 456
Uncorrected energy in eV/cell: -21.0

Lattice parameters (Å, degrees): 5.0388 5.0388 4.6425 90.00 90.00 90.00
Last column: nearest neighbours and their distance in Å.
Fractional positions:
1 Sr 0.0000 0.0000 0.0000  2 F 2.32, 4 N 2.52
2 F 0.0000 0.0000 0.5000  2 Sr 2.32
3 N 0.0000 0.5000 0.0000  2 Sr 2.52
4 N 0.5000 0.0000 0.0000  2 Sr 2.52
5 Li 0.5000 0.5000 0.5000  8 N 3.43, 4 F 3.56